# 1
A relaxed structure of Ce2CoSb, computed with PBE.

The structure in POSCAR format:
```
Ce2CoSb
1.0
2.005 1.157 7.326
-2.005 1.157 7.326
0.000 -2.315 7.326
Ce Co Sb
2 1 1
direct
0.236 0.236 0.236 Ce
0.764 0.764 0.764 Ce
0.500 0.500 0.500 Co
0.000 0.000 0.000 Sb
```

Summary:
As for the energy above the most stable polymorph in this dataset: 114 meV per atom. For the formation energy (no corrections), the calculation gives -0.440 eV/atom.

=====

# 2
A relaxed structure of Ce4Co3Sb8, computed with PBE.

The structure in POSCAR format:
```
Ce4Co3Sb8
1.0
4.387 0.000 0.000
0.000 4.387 0.000
0.000 0.000 18.782
Ce Co Sb
4 3 8
direct
0.000 0.500 0.112 Ce
0.000 0.500 0.617 Ce
0.500 0.000 0.383 Ce
0.500 0.000 0.888 Ce
0.000 0.000 0.000 Co
0.000 0.000 0.500 Co
0.500 0.500 0.500 Co
0.000 0.000 0.247 Sb
0.000 0.000 0.753 Sb
0.000 0.500 0.427 Sb
0.000 0.500 0.934 Sb
0.500 0.000 0.066 Sb
0.500 0.000 0.573 Sb
0.500 0.500 0.247 Sb
0.500 0.500 0.753 Sb
```

Summary:
For the formation energy (no corrections), the calculation gives -0.674 eV/atom.

=====

| no. | calculated total energy (eV/cell) |
| --- | --- |
| 1 | -24.85 |
| 2 | -88.15 |